Here is ReIr4Rh2 after structural relaxation from Alexandria. Energies are from PBE.

Cell lengths 3.9237, 19.2586, 2.7235 Å; angles 90.00, 90.00, 90.00 degrees
Closest atoms and distances in Å follow each position.
Space group Cmmm (No. 65)
Symmetry-distinct sites (fractional):
Re1 0.0000 0.0000 0.0000 (multiplicity 2)  2 Ir 2.72, 2 Re 2.72, 8 Rh 2.73
Ir1 0.0000 0.1411 0.0000 (multiplicity 4)  6 Ir 2.70-2.72, 1 Re 2.72, 4 Rh 2.77
Ir2 0.0000 0.2939 0.5000 (multiplicity 4)  8 Ir 2.59-2.72, 1 Rh 2.65
Rh1 0.0000 0.4316 0.5000 (multiplicity 4)  3 Rh 2.64-2.72, 5 Ir 2.65-2.77, 4 Re 2.73

Computed properties:
**ΔE_f**: 0.04 eV per atom
**Distance to the lowest polymorph of the same formula**: 0.00 eV per formula unit
**Total energy**: -8.897 eV per atom